[1]
{"formula": "Zn3Tc", "functional": "GGA-PBE", "state": "relaxed", "m_tot_mub_per_cell": 1.43, "dos_ef_per_ev_fu": 2.0, "lattice_angstrom": [[-4.756, -2.193, -1.372], [4.439, -1.142, -2.881], [0.838, -3.493, 2.677]], "species": ["Zn", "Zn", "Tc", "Zn", "Zn", "Tc", "Zn", "Zn"], "frac_coords": [[0.831, 0.169, 0.250], [0.831, 0.662, 0.250], [0.333, 0.667, 0.250], [0.662, 0.831, 0.750], [0.169, 0.831, 0.750], [0.667, 0.333, 0.750], [0.338, 0.169, 0.250], [0.169, 0.338, 0.750]]}

[2]
{"formula": "Zn3Tc", "functional": "GGA-PBE", "state": "relaxed", "m_tot_mub_per_cell": 0.50, "dos_ef_per_ev_fu": 3.7, "lattice_angstrom": [[2.692, 0.000, 0.000], [0.000, 2.692, 0.000], [0.000, 0.000, 8.064]], "species": ["Tc", "Zn", "Zn", "Zn"], "frac_coords": [[0.000, 0.000, 0.000], [0.000, 0.000, 0.500], [0.500, 0.500, 0.248], [0.500, 0.500, 0.752]]}

[3]
{"formula": "Zn3Tc", "functional": "GGA-PBE", "state": "relaxed", "m_tot_mub_per_cell": 0.86, "dos_ef_per_ev_fu": 1.5, "lattice_angstrom": [[3.839, 0.000, 0.000], [0.000, 3.839, 0.000], [0.000, 0.000, 3.839]], "species": ["Zn", "Zn", "Tc", "Zn"], "frac_coords": [[0.000, 0.500, 0.500], [0.500, 0.500, 0.000], [0.000, 0.000, 0.000], [0.500, 0.000, 0.500]]}

no.,energy of formation from the pure elements (eV per atom)
1,0.03
2,0.13
3,-0.05